The following is a GGA+U calculation of a relaxed Tl2Zn3WF12 crystal, from Alexandria.

a b c (Å): 7.7916 7.7916 7.7916
angles (deg): 56.82 56.82 56.82
Sites, in units of the cell vectors:
Tl  0.0910  0.0910  0.0910
Tl  0.9090  0.9090  0.9090
Zn  0.0000  0.5000  0.5000
Zn  0.5000  0.0000  0.5000
Zn  0.5000  0.5000  0.0000
W  0.5000  0.5000  0.5000
F  0.1781  0.1781  0.5831
F  0.1781  0.5831  0.1781
F  0.1811  0.5740  0.5740
F  0.4169  0.8219  0.8219
F  0.4260  0.4260  0.8189
F  0.4260  0.8189  0.4260
F  0.5740  0.1811  0.5740
F  0.5740  0.5740  0.1811
F  0.5831  0.1781  0.1781
F  0.8189  0.4260  0.4260
F  0.8219  0.4169  0.8219
F  0.8219  0.8219  0.4169

Computed properties:
final energy: -4.39 eV per atom
crystal system: trigonal
space group: R-3m (166)